No. 1
First-principles (GGA-PBE) data for VGeRuW after structural relaxation, as listed in Alexandria.

Total energy in Ry/atom: -0.664
Energy of formation from the pure elements in kJ/mol of formula units: -17
Symmetry: F-43m

a b c (Å): 6.124 6.124 6.124
angles (deg): 90.00 90.00 90.00
Atoms (fractional coordinates):
V 0.000 0.000 0.000
V 0.000 0.500 0.500
V 0.500 0.000 0.500
V 0.500 0.500 0.000
Ge 0.000 0.000 0.500
Ge 0.000 0.500 0.000
Ge 0.500 0.000 0.000
Ge 0.500 0.500 0.500
Ru 0.250 0.250 0.250
Ru 0.250 0.750 0.750
Ru 0.750 0.250 0.750
Ru 0.750 0.750 0.250
W 0.250 0.250 0.750
W 0.250 0.750 0.250
W 0.750 0.250 0.250
W 0.750 0.750 0.750



No. 2
First-principles (GGA-PBE) data for Ge2RuW after structural relaxation, as listed in Alexandria.

Total energy in Ry/atom: -0.545
Energy of formation from the pure elements in kJ/mol of formula units: 176
Symmetry: I-42d
Relative energy among the computed polymorphs in eV per atom: 0.265

a b c (Å): 3.846 3.846 17.970
angles (deg): 90.00 90.00 90.00
Atoms (fractional coordinates):
Ge 0.239 0.250 0.125
Ge 0.250 0.739 0.375
Ge 0.250 0.761 0.875
Ge 0.261 0.250 0.625
Ge 0.739 0.750 0.625
Ge 0.750 0.239 0.875
Ge 0.750 0.261 0.375
Ge 0.761 0.750 0.125
Ru 0.000 0.000 0.000
Ru 0.000 0.500 0.250
Ru 0.500 0.000 0.750
Ru 0.500 0.500 0.500
W 0.000 0.000 0.500
W 0.000 0.500 0.750
W 0.500 0.000 0.250
W 0.500 0.500 0.000



No. 3
First-principles (GGA-PBE) data for GeRuW after structural relaxation, as listed in Alexandria.

Total energy in Ry/atom: -0.661
Energy of formation from the pure elements in kJ/mol of formula units: -11
Symmetry: Cm

a b c (Å): 9.370 3.018 6.974
angles (deg): 90.00 110.63 90.00
Atoms (fractional coordinates):
Ge 0.000 0.000 0.000
Ge 0.243 0.000 0.303
Ge 0.500 0.500 0.000
Ge 0.743 0.500 0.303
Ru 0.277 0.000 0.956
Ru 0.493 0.000 0.706
Ru 0.777 0.500 0.956
Ru 0.993 0.500 0.706
W 0.238 0.500 0.610
W 0.483 0.500 0.373
W 0.738 0.000 0.610
W 0.983 0.000 0.373



No. 4
First-principles (GGA-PBE) data for Ge3RuW after structural relaxation, as listed in Alexandria.

Total energy in Ry/atom: -0.445
Energy of formation from the pure elements in kJ/mol of formula units: 561
Symmetry: Pm-3m
Relative energy among the computed polymorphs in eV per atom: 0.000

a b c (Å): 4.901 4.901 4.901
angles (deg): 90.00 90.00 90.00
Atoms (fractional coordinates):
Ge 0.000 0.000 0.500
Ge 0.000 0.500 0.000
Ge 0.500 0.000 0.000
Ru 0.500 0.500 0.500
W 0.000 0.000 0.000



- Which of these has the highest total energy?
  Ge3RuW



- Among the records above, which one has the lowest total energy?
  VGeRuW



Copy entry 1 word for word.
First-principles (GGA-PBE) data for VGeRuW after structural relaxation, as listed in Alexandria.

Total energy in Ry/atom: -0.664
Energy of formation from the pure elements in kJ/mol of formula units: -17
Symmetry: F-43m

a b c (Å): 6.124 6.124 6.124
angles (deg): 90.00 90.00 90.00
Atoms (fractional coordinates):
V 0.000 0.000 0.000
V 0.000 0.500 0.500
V 0.500 0.000 0.500
V 0.500 0.500 0.000
Ge 0.000 0.000 0.500
Ge 0.000 0.500 0.000
Ge 0.500 0.000 0.000
Ge 0.500 0.500 0.500
Ru 0.250 0.250 0.250
Ru 0.250 0.750 0.750
Ru 0.750 0.250 0.750
Ru 0.750 0.750 0.250
W 0.250 0.250 0.750
W 0.250 0.750 0.250
W 0.750 0.250 0.250
W 0.750 0.750 0.750



- What is the formula in the first record?
  VGeRuW